Entry 1:
The following is a PBE calculation of TlInAg2 after structural relaxation, from the Alexandria database.

Output
Energy of formation: 9 kJ/mol of atoms
Calculated density: 9.907 g/cm3

a b c (Å): 3.2764 3.2764 8.3526
angles (deg): 90.00 90.00 90.00
Space group P4/mmm (No. 123)
Unique sites:
1 Tl 0.0000 0.0000 0.0000 x1
2 In 0.0000 0.0000 0.5000 x1
3 Ag 0.5000 0.5000 0.2702 x2

=====

Entry 2:
The following is a PBE calculation of AcTh2Os after structural relaxation, from the Alexandria database.

Output
Energy of formation: 1 kJ/mol of atoms
Calculated density: 12.131 g/cm3
Energy relative to the lowest polymorph listed for this composition: 12.9 kJ per mole of atoms

a b c (Å): 3.6710 3.6710 8.9517
angles (deg): 90.00 90.00 90.00
Space group P4/mmm (No. 123)
Unique sites:
1 Ac 0.0000 0.0000 0.0000 x1
2 Th 0.5000 0.5000 0.3187 x2
3 Os 0.0000 0.0000 0.5000 x1

=====

Entry 3:
The following is a PBE calculation of PmRuPb2O8 after structural relaxation, from the Alexandria database.

Output
Calculated density: 7.569 g/cm3
Raw formation energy: -1333 meV/atom

a b c (Å): 5.0357 6.7983 5.0531
angles (deg): 90.00 90.87 90.00
Space group P2/m (No. 10)
Unique sites:
1 Pm 0.0000 0.0000 0.0000 x1
2 Ru 0.0000 0.5000 0.0000 x1
3 Pb 0.5000 0.2578 0.5000 x2
4 O 0.1907 0.2871 0.1810 x4
5 O 0.2776 0.5000 0.7116 x2
6 O 0.3094 0.0000 0.6774 x2